No. 1
Crystalline SrAcPb3 at its relaxed geometry, computed with PBE.

The structure in POSCAR format:
```
SrAcPb3
1.0
8.530 0.000 0.000
0.000 8.575 0.000
0.000 0.000 9.786
Sr Ac Pb
4 4 12
direct
0.176 0.173 0.000
0.324 0.673 0.500
0.676 0.327 0.500
0.824 0.827 0.000
0.176 0.172 0.500
0.324 0.672 0.000
0.676 0.328 0.000
0.824 0.828 0.500
0.000 0.500 0.250
0.000 0.500 0.750
0.127 0.872 0.251
0.127 0.872 0.749
0.373 0.372 0.249
0.373 0.372 0.751
0.500 0.000 0.250
0.500 0.000 0.750
0.627 0.628 0.249
0.627 0.628 0.751
0.873 0.128 0.251
0.873 0.128 0.749
```

Summary:
Size of the total moment in μB/atom: 0.0000
Space-group type: No. 58
Energy relative to the lowest polymorph listed for this composition in meV per atom: 0
Raw total energy in eV/atom: -3.865

---

No. 2
Crystalline Sr2AcPb at its relaxed geometry, computed with PBE.

The structure in POSCAR format:
```
Sr2AcPb
1.0
3.960 0.000 0.000
0.000 3.960 0.000
0.000 0.000 10.669
Sr Ac Pb
2 1 1
direct
0.000 0.000 0.202
0.000 0.000 0.798
0.500 0.500 0.500
0.500 0.500 0.000
```

Summary:
Size of the total moment in μB/atom: 0.0000
Space-group type: No. 123
Energy relative to the lowest polymorph listed for this composition in meV per atom: 12
Raw total energy in eV/atom: -3.019